The following is a DFT calculation (PBE) of a geometry-optimized CeTaRh structure.

Results
- ρ (Mg/m³) = 11.8
- V (Å³ per atom) = 19.88
- ΔE_f (eV/f.u.) = -0.6
- spin magnetization (μB per cell) = 0.0

Geometry as CIF:
```
data_CeTaRh
_chemical_formula_sum 'Ce2 Ta2 Rh2'
_symmetry_space_group_name_H-M 'P 1'
_symmetry_Int_Tables_number 1
_cell_length_a 4.4875
_cell_length_b 3.1712
_cell_length_c 11.8630
_cell_angle_alpha 90.00
_cell_angle_beta 90.00
_cell_angle_gamma 135.04
loop_
_symmetry_equiv_pos_as_xyz
'x,y,z'
loop_
_atom_site_label
_atom_site_type_symbol
_atom_site_fract_x
_atom_site_fract_y
_atom_site_fract_z
Rh1 Rh 0.1945 0.3890 0.5000
Rh2 Rh 0.6944 0.3887 0.0000
Ta1 Ta 0.6945 0.3889 0.6344
Ta2 Ta 0.6945 0.3889 0.3656
Ce1 Ce 0.1944 0.3888 0.8305
Ce2 Ce 0.1944 0.3888 0.1695
```

The following is a DFT calculation (PBE) of a geometry-optimized Cu2Pb structure.

Results
- ρ (Mg/m³) = 9.5
- V (Å³ per atom) = 19.45
- ΔE_f (eV/f.u.) = 1.1
- spin magnetization (μB per cell) = 0.0

Geometry as CIF:
```
data_Cu2Pb
_chemical_formula_sum 'Cu6 Pb3'
_symmetry_space_group_name_H-M 'P 1'
_symmetry_Int_Tables_number 1
_cell_length_a 6.7789
_cell_length_b 6.7789
_cell_length_c 4.3975
_cell_angle_alpha 90.00
_cell_angle_beta 90.00
_cell_angle_gamma 120.00
loop_
_symmetry_equiv_pos_as_xyz
'x,y,z'
loop_
_atom_site_label
_atom_site_type_symbol
_atom_site_fract_x
_atom_site_fract_y
_atom_site_fract_z
Cu1 Cu 0.2258 0.0000 0.0000
Cu2 Cu 0.0000 0.2258 0.0000
Cu3 Cu 0.0000 0.4212 0.5000
Cu4 Cu 0.7742 0.7742 0.0000
Cu5 Cu 0.5788 0.5788 0.5000
Cu6 Cu 0.4212 0.0000 0.5000
Pb1 Pb 0.6667 0.3333 0.0000
Pb2 Pb 0.0000 0.0000 0.5000
Pb3 Pb 0.3333 0.6667 0.0000
```

The following is a DFT calculation (PBE) of a geometry-optimized GaPbNF2 structure.

Results
- ρ (Mg/m³) = 5.8
- relative energy among the computed polymorphs (kJ per mole of atoms) = 58.3
- V (Å³ per atom) = 18.81
- spin magnetization (μB per cell) = 0.7

Geometry as CIF:
```
data_GaPbNF2
_chemical_formula_sum 'Ga1 Pb1 N1 F2'
_symmetry_space_group_name_H-M 'P 1'
_symmetry_Int_Tables_number 1
_cell_length_a 4.6286
_cell_length_b 4.6286
_cell_length_c 4.3909
_cell_angle_alpha 90.00
_cell_angle_beta 90.00
_cell_angle_gamma 90.00
loop_
_symmetry_equiv_pos_as_xyz
'x,y,z'
loop_
_atom_site_label
_atom_site_type_symbol
_atom_site_fract_x
_atom_site_fract_y
_atom_site_fract_z
Ga1 Ga 0.5000 0.5000 0.5000
F1 F 0.0000 0.5000 0.0000
F2 F 0.5000 0.0000 0.0000
N1 N 0.0000 0.0000 0.5000
Pb1 Pb 0.0000 0.0000 0.0000
```